Entry 1:
Entry from the Alexandria database: a relaxed structure of Rb2ScAlHg (PBE).

Structure (extended XYZ):
```
5
Lattice="7.0006 0.0000 0.0000 0.0000 4.9460 0.0000 0.0000 0.0000 7.0006" Properties=species:S:1:pos:R:3 pbc="T T T"
Rb 3.5003 0.0000 0.0000
Rb 0.0000 0.0000 3.5003
Hg 0.0000 2.4730 0.0000
Sc 3.5003 2.4730 3.5003
Al 0.0000 0.0000 0.0000
```

E = -1.752 eV per atom
SG = P4/mmm (123)
E_form = 711 meV/atom

***

Entry 2:
Entry from the Alexandria database: a relaxed structure of Pm6Pr2YTm (PBE).

Structure (extended XYZ):
```
20
Lattice="9.3272 -2.1195 -2.1996 0.7951 8.6994 -2.0934 0.7951 -2.4144 8.6159" Properties=species:S:1:pos:R:3 pbc="T T T"
Tm 3.1269 1.6003 3.6869
Tm 7.7905 2.5653 0.6360
Pr 0.7869 2.0610 0.9643
Pr 10.1305 2.1045 3.3587
Pr 5.4505 -0.1725 0.9956
Pr 5.4669 4.3381 3.3274
Pm 2.2522 4.5542 -1.4780
Pm 4.1861 2.8374 0.6117
Pm 4.0017 6.8711 0.9264
Pm 8.6653 -0.3887 5.8010
Pm 6.7313 1.3282 3.7112
Pm 6.9158 -2.7055 3.3966
Pm 5.8802 5.0610 -1.7036
Pm 5.0372 -0.8954 6.0265
Pm 1.2166 -0.8303 6.0941
Pm 8.8497 -0.5536 1.7583
Pm 2.0677 4.7192 2.5646
Pm 9.7008 4.9958 -1.7712
Y 3.1269 7.9557 -2.4372
Y 7.7905 -3.7902 6.7602
```

E = -4.787 eV per atom
SG = C2/c (15)
E_form = 112 meV/atom

***

Entry 3:
Entry from the Alexandria database: a relaxed structure of Na2Sr3Ga (PBE).

Structure (extended XYZ):
```
12
Lattice="5.7319 0.0000 0.0250 2.8659 8.6982 0.0125 -0.0403 0.0000 9.3776" Properties=species:S:1:pos:R:3 pbc="T T T"
Na 2.8458 2.9288 4.7013
Na 5.7117 5.7695 4.7138
Na 0.0000 0.0000 0.0000
Na -0.0202 0.0000 4.6888
Sr 5.7245 3.0581 1.8998
Sr 5.6989 3.0581 7.5279
Sr 2.8330 5.6401 7.5154
Sr 2.8340 0.0000 7.3478
Sr 2.8576 0.0000 2.0549
Sr 2.8586 5.6402 1.8873
Ga 2.8659 2.6759 0.0125
Ga 5.7319 6.0224 0.0250
```

E = -1.893 eV per atom
SG = Cmmm (65)
E_form = -108 meV/atom

***

Entry 4:
Entry from the Alexandria database: a relaxed structure of RbAcTiO4 (PBE).

Structure (extended XYZ):
```
14
Lattice="-5.2118 -1.3762 3.5065 2.8058 -5.0390 2.1927 4.0927 4.5054 5.1168" Properties=species:S:1:pos:R:3 pbc="T T T"
Rb -0.6592 -1.2643 2.2789
Rb 2.3459 -0.6456 8.5371
O -0.6775 -0.6664 7.6725
O 2.0537 -1.9158 5.9919
O 1.2164 1.6166 6.4993
O -1.9690 1.6531 6.6632
O 0.4703 -3.5264 4.3167
O 2.3642 -1.2434 3.1435
O 3.6557 -3.5629 4.1528
O -0.3670 0.0059 4.8242
Ti -0.3815 0.7186 6.4804
Ti 2.0682 -2.6284 4.3356
Ac 1.9138 0.9846 4.1546
Ac -0.2271 -2.8945 6.6614
```

E = -7.582 eV per atom
Formation energy from raw total energies = -2.8953 eV/atom
SG = P2_1/m (11)

***

Entry 5:
Entry from the Alexandria database: a relaxed structure of Sc2Si4Ir5 (PBE).

Structure (extended XYZ):
```
11
Lattice="5.5162 0.0000 0.0000 2.7581 4.6545 0.0000 2.7581 0.0000 7.1074" Properties=species:S:1:pos:R:3 pbc="T T T"
Ir 2.7581 0.0000 0.0000
Ir 4.1371 2.3272 0.0000
Ir 1.3790 2.3272 0.0000
Ir 6.8952 2.3272 3.5537
Ir 4.1371 2.3272 3.5537
Si 2.7581 1.4171 1.8910
Si 5.5162 3.2374 1.8910
Si 8.2742 3.2374 5.2163
Si 5.5162 1.4171 5.2163
Sc 2.7581 0.0000 5.4485
Sc 5.5162 0.0000 1.6589
```

E = -7.909 eV per atom
Formation energy from raw total energies = -0.7584 eV/atom
SG = Fmmm (69)

***

Entry 6:
Entry from the Alexandria database: a relaxed structure of Ce3Si2GePt9 (PBE).

Structure (extended XYZ):
```
15
Lattice="-4.3188 -1.6986 -3.2871 5.1657 -2.2758 -0.6915 -2.5169 -7.9692 7.4249" Properties=species:S:1:pos:R:3 pbc="T T T"
Ce 0.1088 -8.0848 4.0348
Ce 0.0000 0.0000 0.0000
Ce -1.7788 -3.8588 -0.5885
Pt -2.1594 -0.8493 -1.6436
Pt 0.4235 -1.9872 -1.9893
Pt 2.5829 -1.1379 -0.3457
Pt -4.4476 -7.1597 2.1408
Pt -1.8404 -8.3084 1.7918
Pt 0.5979 -5.6411 -0.3535
Pt 0.1705 -3.6352 1.6545
Pt 2.7777 -4.7838 1.3055
Pt -2.2679 -6.3024 3.7999
Si 1.5829 -3.4174 -0.3138
Si -3.2529 -8.5262 3.7601
Ge -1.2584 -3.9846 3.7125
```

E = -6.634 eV per atom
Formation energy from raw total energies = -0.7916 eV/atom
SG = P-3m1 (164)

***

Entry 7:
Entry from the Alexandria database: a relaxed structure of AlCr2As (PBE).

Structure (extended XYZ):
```
4
Lattice="2.7039 -0.0022 0.0000 -0.8877 2.5541 0.0000 0.0000 0.0000 8.2441" Properties=species:S:1:pos:R:3 pbc="T T T"
As 0.9081 1.2759 6.4147
Cr 0.0000 0.0000 0.1508
Cr 0.9081 1.2759 1.9071
Al 0.0000 0.0000 3.8937
```

E = -6.671 eV per atom
Distance to the lowest polymorph of the same formula = 293.0 meV/atom
SG = Cmm2 (35)
E_form = 238 meV/atom

***

Entry 8:
Entry from the Alexandria database: a relaxed structure of Mg2BeTe (PBE).

Structure (extended XYZ):
```
4
Lattice="3.1781 0.0148 0.0000 -0.0132 3.1781 0.0000 0.0000 0.0000 8.2141" Properties=species:S:1:pos:R:3 pbc="T T T"
Mg 0.0000 0.0000 7.7335
Mg 0.0000 0.0000 4.5877
Te 1.5824 1.5964 2.0535
Be 1.5824 1.5964 6.1606
```

E = -2.349 eV per atom
Distance to the lowest polymorph of the same formula = 152.7 meV/atom
Formation energy from raw total energies = 0.1650 eV/atom
SG = P4/mmm (123)

***

Entry 9:
Entry from the Alexandria database: a relaxed structure of CdPbAu2 (PBE).

Structure (extended XYZ):
```
4
Lattice="-3.3413 3.5735 -1.0546 -4.8886 -1.0715 -0.0170 -2.9676 1.7945 3.6083" Properties=species:S:1:pos:R:3 pbc="T T T"
Cd -5.5987 2.1483 1.2683
Au -2.7994 1.0741 0.6342
Au 0.0000 0.0000 0.0000
Pb -8.3981 3.2224 1.9025
```

E = -2.741 eV per atom
SG = F-43m (216)
E_form = 53 meV/atom

***

Entry 10:
Entry from the Alexandria database: a relaxed structure of BeAs2Pt (PBE).

Structure (extended XYZ):
```
4
Lattice="-3.5920 0.0855 -0.2810 -1.6447 -1.9411 -2.5526 -2.1876 -5.1101 2.6837" Properties=species:S:1:pos:R:3 pbc="T T T"
As -5.2295 -1.9119 -2.7772
As -3.7194 -3.4266 -0.1314
Be -1.8561 -1.7414 -0.0375
Pt -5.5682 -5.2243 -0.1124
```

E = -4.721 eV per atom
SG = C2/m (12)
E_form = 46 meV/atom

***

Entry 11:
Entry from the Alexandria database: a relaxed structure of La4Mg3Ga (PBE).

Structure (extended XYZ):
```
8
Lattice="3.8929 0.0000 0.0000 0.0000 3.8929 0.0000 0.0000 0.0000 15.8214" Properties=species:S:1:pos:R:3 pbc="T T T"
La 0.0000 0.0000 1.7495
La 0.0000 0.0000 14.0720
La 0.0000 0.0000 5.8642
La 0.0000 0.0000 9.9572
Ga 1.9464 1.9464 0.0000
Mg 1.9464 1.9464 7.9107
Mg 1.9464 1.9464 11.9532
Mg 1.9464 1.9464 3.8682
```

E = -3.667 eV per atom
SG = P4/mmm (123)
E_form = -227 meV/atom

***

Entry 12:
Entry from the Alexandria database: a relaxed structure of BePt (PBE).

Structure (extended XYZ):
```
12
Lattice="-2.4916 -1.3703 6.0482 6.6106 0.4718 -0.8623 -0.1779 4.0264 0.8389" Properties=species:S:1:pos:R:3 pbc="T T T"
Be 1.4198 3.0688 0.7235
Be 3.2801 2.3744 4.4505
Be -1.6883 -0.0616 4.9876
Be 0.6610 0.7534 1.5743
Be 5.6294 3.1894 1.0372
Be 2.5213 0.0591 5.3013
Pt -1.1885 2.1529 4.5660
Pt 1.3901 2.0440 5.6351
Pt 2.9155 0.5343 3.1043
Pt 2.5510 1.0838 0.3897
Pt 1.0255 2.5936 2.9205
Pt 5.1296 0.9750 1.4588
```

E = -5.287 eV per atom
SG = P6_3/m (176)
E_form = -404 meV/atom

***

Look up the E of the eighth one.
-2.349 eV per atom